1 | Pr3Y8Ho3: relaxed, GGA-PBE. Values from VASP.

## Properties
As for the space group: Immm (71). Its theoretical density is 5.79 g/cm³.

The structure in Quantum ESPRESSO input format:
```
&SYSTEM
  ibrav = 0, nat = 14, ntyp = 3
/
ATOMIC_SPECIES
Pr 140.91 Pr.upf
Y 88.91 Y.upf
Ho 164.93 Ho.upf
ATOMIC_POSITIONS crystal
Pr 0.000 0.000 0.000
Pr 0.309 0.000 0.309
Pr 0.691 0.000 0.691
Y 0.058 0.397 0.661
Y 0.062 0.222 0.841
Y 0.264 0.603 0.661
Y 0.381 0.222 0.159
Y 0.619 0.778 0.841
Y 0.736 0.397 0.339
Y 0.938 0.778 0.159
Y 0.942 0.603 0.339
Ho 0.312 0.812 0.500
Ho 0.500 0.500 0.000
Ho 0.688 0.188 0.500
CELL_PARAMETERS angstrom
-2.846 5.370 7.645
2.846 -5.370 7.645
2.846 5.370 -7.645
```

---

2 | Pr3Y8Ho3: relaxed, GGA-PBE. Values from VASP.

## Properties
As for the space group: Immm (71). Its theoretical density is 5.77 g/cm³.

The structure in Quantum ESPRESSO input format:
```
&SYSTEM
  ibrav = 0, nat = 14, ntyp = 3
/
ATOMIC_SPECIES
Pr 140.91 Pr.upf
Y 88.91 Y.upf
Ho 164.93 Ho.upf
ATOMIC_POSITIONS crystal
Pr 0.000 0.000 0.000
Pr 0.183 0.683 0.500
Pr 0.817 0.317 0.500
Y 0.120 0.280 0.840
Y 0.239 0.898 0.341
Y 0.441 0.280 0.160
Y 0.443 0.102 0.341
Y 0.557 0.898 0.659
Y 0.559 0.720 0.840
Y 0.761 0.102 0.659
Y 0.880 0.720 0.160
Ho 0.203 0.500 0.703
Ho 0.500 0.500 0.000
Ho 0.797 0.500 0.297
CELL_PARAMETERS angstrom
-2.854 5.415 7.586
2.854 -5.415 7.586
2.854 5.415 -7.586
```

---

Order from most stable to least stable according to the calculation: 2, 1

---

1 | PrYHo5: relaxed, GGA-PBE. Values from VASP.

## Properties
As for the space group: P2_1/m (11). Its theoretical density is 7.76 g/cm³.

The structure in Quantum ESPRESSO input format:
```
&SYSTEM
  ibrav = 0, nat = 14, ntyp = 3
/
ATOMIC_SPECIES
Pr 140.91 Pr.upf
Y 88.91 Y.upf
Ho 164.93 Ho.upf
ATOMIC_POSITIONS crystal
Pr 0.182 0.250 0.163
Pr 0.818 0.750 0.837
Y 0.424 0.750 0.383
Y 0.576 0.250 0.617
Ho 0.020 0.750 0.314
Ho 0.168 0.250 0.920
Ho 0.182 0.250 0.513
Ho 0.308 0.750 0.731
Ho 0.459 0.750 0.091
Ho 0.541 0.250 0.909
Ho 0.692 0.250 0.269
Ho 0.818 0.750 0.487
Ho 0.832 0.750 0.080
Ho 0.980 0.250 0.686
CELL_PARAMETERS angstrom
9.021 0.000 0.000
0.000 3.594 0.000
-3.047 0.000 13.927
```

---

2 | PrYHo5: relaxed, GGA-PBE. Values from VASP.

## Properties
As for the space group: C2/c (15). Its theoretical density is 7.58 g/cm³.

The structure in Quantum ESPRESSO input format:
```
&SYSTEM
  ibrav = 0, nat = 14, ntyp = 3
/
ATOMIC_SPECIES
Pr 140.91 Pr.upf
Y 88.91 Y.upf
Ho 164.93 Ho.upf
ATOMIC_POSITIONS crystal
Pr 0.000 0.500 0.000
Pr 0.500 0.000 0.500
Y 0.013 0.987 0.250
Y 0.987 0.013 0.750
Ho 0.081 0.584 0.416
Ho 0.164 0.654 0.902
Ho 0.346 0.836 0.598
Ho 0.416 0.919 0.084
Ho 0.490 0.510 0.250
Ho 0.510 0.490 0.750
Ho 0.584 0.081 0.916
Ho 0.654 0.164 0.402
Ho 0.836 0.346 0.098
Ho 0.919 0.416 0.584
CELL_PARAMETERS angstrom
8.206 -3.281 0.000
8.206 3.281 0.000
-6.287 0.000 8.575
```

---

Order from most stable to least stable according to the calculation: 1, 2

---

1 | Pr7Y2Ho3: relaxed, GGA-PBE. Values from VASP.

## Properties
As for the space group: P2/m (10). Its theoretical density is 6.68 g/cm³.

The structure in Quantum ESPRESSO input format:
```
&SYSTEM
  ibrav = 0, nat = 12, ntyp = 3
/
ATOMIC_SPECIES
Pr 140.91 Pr.upf
Y 88.91 Y.upf
Ho 164.93 Ho.upf
ATOMIC_POSITIONS crystal
Pr 0.000 0.000 0.000
Pr 0.226 0.500 0.172
Pr 0.259 0.500 0.494
Pr 0.277 0.000 0.833
Pr 0.723 0.000 0.167
Pr 0.741 0.500 0.506
Pr 0.774 0.500 0.828
Y 0.059 0.500 0.670
Y 0.941 0.500 0.330
Ho 0.456 0.000 0.340
Ho 0.500 0.500 0.000
Ho 0.544 0.000 0.660
CELL_PARAMETERS angstrom
6.529 0.000 0.000
0.000 3.587 0.000
-1.790 0.000 17.611
```

---

2 | Pr7Y2Ho3: relaxed, GGA-PBE. Values from VASP.

## Properties
As for the space group: P2/m (10). Its theoretical density is 6.64 g/cm³.

The structure in Quantum ESPRESSO input format:
```
&SYSTEM
  ibrav = 0, nat = 12, ntyp = 3
/
ATOMIC_SPECIES
Pr 140.91 Pr.upf
Y 88.91 Y.upf
Ho 164.93 Ho.upf
ATOMIC_POSITIONS crystal
Pr 0.000 0.000 0.000
Pr 0.175 0.500 0.184
Pr 0.258 0.500 0.534
Pr 0.328 0.000 0.855
Pr 0.672 0.000 0.145
Pr 0.742 0.500 0.466
Pr 0.825 0.500 0.816
Y 0.296 0.500 0.702
Y 0.704 0.500 0.298
Ho 0.216 0.000 0.368
Ho 0.500 0.500 0.000
Ho 0.784 0.000 0.632
CELL_PARAMETERS angstrom
5.927 0.000 0.000
0.000 3.645 0.000
-1.316 0.000 19.203
```

---

Order from most stable to least stable according to the calculation: 1, 2

---

1 | Pr6Y3Ho2: relaxed, GGA-PBE. Values from VASP.

## Properties
As for the space group: I4/mmm (139). Its theoretical density is 6.04 g/cm³.

The structure in Quantum ESPRESSO input format:
```
&SYSTEM
  ibrav = 0, nat = 11, ntyp = 3
/
ATOMIC_SPECIES
Pr 140.91 Pr.upf
Y 88.91 Y.upf
Ho 164.93 Ho.upf
ATOMIC_POSITIONS crystal
Pr 0.119 0.619 0.500
Pr 0.196 0.196 0.000
Pr 0.381 0.881 0.500
Pr 0.619 0.119 0.500
Pr 0.804 0.804 0.000
Pr 0.881 0.381 0.500
Y 0.299 0.299 0.000
Y 0.500 0.500 0.000
Y 0.701 0.701 0.000
Ho 0.045 0.045 0.000
Ho 0.955 0.955 0.000
CELL_PARAMETERS angstrom
-2.420 2.420 16.917
2.420 -2.420 16.917
2.420 2.420 -16.917
```

---

2 | Pr6Y3Ho2: relaxed, GGA-PBE. Values from VASP.

## Properties
As for the space group: P-1 (2). Its theoretical density is 6.31 g/cm³.

The structure in Quantum ESPRESSO input format:
```
&SYSTEM
  ibrav = 0, nat = 11, ntyp = 3
/
ATOMIC_SPECIES
Pr 140.91 Pr.upf
Y 88.91 Y.upf
Ho 164.93 Ho.upf
ATOMIC_POSITIONS crystal
Pr 0.099 0.390 0.319
Pr 0.211 0.227 0.951
Pr 0.247 0.852 0.225
Pr 0.753 0.148 0.775
Pr 0.789 0.773 0.049
Pr 0.901 0.610 0.681
Y 0.345 0.680 0.867
Y 0.500 0.500 0.500
Y 0.655 0.320 0.133
Ho 0.272 0.049 0.603
Ho 0.728 0.951 0.397
CELL_PARAMETERS angstrom
6.185 0.000 0.000
2.981 6.164 0.000
0.222 0.097 9.957
```

---

Order from most stable to least stable according to the calculation: 2, 1

---

1 | PrY6Ho4: relaxed, GGA-PBE. Values from VASP.

## Properties
As for the space group: Cmcm (63). Its theoretical density is 6.20 g/cm³.

The structure in Quantum ESPRESSO input format:
```
&SYSTEM
  ibrav = 0, nat = 22, ntyp = 3
/
ATOMIC_SPECIES
Pr 140.91 Pr.upf
Y 88.91 Y.upf
Ho 164.93 Ho.upf
ATOMIC_POSITIONS crystal
Pr 0.177 0.823 0.750
Pr 0.823 0.177 0.250
Y 0.154 0.846 0.180
Y 0.154 0.846 0.320
Y 0.179 0.821 0.601
Y 0.179 0.821 0.899
Y 0.489 0.511 0.250
Y 0.500 0.500 0.000
Y 0.500 0.500 0.500
Y 0.511 0.489 0.750
Y 0.821 0.179 0.101
Y 0.821 0.179 0.399
Y 0.846 0.154 0.680
Y 0.846 0.154 0.820
Ho 0.162 0.838 0.042
Ho 0.162 0.838 0.458
Ho 0.485 0.515 0.121
Ho 0.485 0.515 0.379
Ho 0.515 0.485 0.621
Ho 0.515 0.485 0.879
Ho 0.838 0.162 0.542
Ho 0.838 0.162 0.958
CELL_PARAMETERS angstrom
2.850 -4.861 0.000
2.850 4.861 0.000
0.000 0.000 25.800
```

---

2 | PrY6Ho4: relaxed, GGA-PBE. Values from VASP.

## Properties
As for the space group: P-6m2 (187). Its theoretical density is 5.99 g/cm³.

The structure in Quantum ESPRESSO input format:
```
&SYSTEM
  ibrav = 0, nat = 11, ntyp = 3
/
ATOMIC_SPECIES
Pr 140.91 Pr.upf
Y 88.91 Y.upf
Ho 164.93 Ho.upf
ATOMIC_POSITIONS crystal
Pr 0.000 0.000 0.000
Y 0.184 0.367 0.500
Y 0.184 0.816 0.500
Y 0.518 0.036 0.000
Y 0.518 0.482 0.000
Y 0.633 0.816 0.500
Y 0.964 0.482 0.000
Ho 0.327 0.164 0.500
Ho 0.333 0.667 0.000
Ho 0.836 0.164 0.500
Ho 0.836 0.673 0.500
CELL_PARAMETERS angstrom
10.943 0.000 0.000
-5.472 9.477 0.000
0.000 0.000 3.564
```

---

Order from most stable to least stable according to the calculation: 1, 2

---

1 | PrY5Ho2: relaxed, GGA-PBE. Values from VASP.

## Properties
As for the space group: P2_1/m (11). Its theoretical density is 5.69 g/cm³.

The structure in Quantum ESPRESSO input format:
```
&SYSTEM
  ibrav = 0, nat = 16, ntyp = 3
/
ATOMIC_SPECIES
Pr 140.91 Pr.upf
Y 88.91 Y.upf
Ho 164.93 Ho.upf
ATOMIC_POSITIONS crystal
Pr 0.003 0.250 0.154
Pr 0.997 0.750 0.846
Y 0.164 0.577 0.209
Y 0.164 0.923 0.209
Y 0.271 0.250 0.583
Y 0.302 0.577 0.621
Y 0.302 0.923 0.621
Y 0.698 0.077 0.379
Y 0.698 0.423 0.379
Y 0.729 0.750 0.417
Y 0.836 0.077 0.791
Y 0.836 0.423 0.791
Ho 0.391 0.117 0.964
Ho 0.391 0.383 0.964
Ho 0.609 0.617 0.036
Ho 0.609 0.883 0.036
CELL_PARAMETERS angstrom
5.793 0.000 0.000
0.000 11.260 0.000
-2.420 0.000 8.189
```

---

2 | PrY5Ho2: relaxed, GGA-PBE. Values from VASP.

## Properties
As for the space group: Cmcm (63). Its theoretical density is 5.75 g/cm³.

The structure in Quantum ESPRESSO input format:
```
&SYSTEM
  ibrav = 0, nat = 16, ntyp = 3
/
ATOMIC_SPECIES
Pr 140.91 Pr.upf
Y 88.91 Y.upf
Ho 164.93 Ho.upf
ATOMIC_POSITIONS crystal
Pr 0.228 0.772 0.750
Pr 0.772 0.228 0.250
Y 0.045 0.955 0.250
Y 0.119 0.881 0.549
Y 0.119 0.881 0.951
Y 0.420 0.580 0.592
Y 0.420 0.580 0.908
Y 0.580 0.420 0.092
Y 0.580 0.420 0.408
Y 0.881 0.119 0.049
Y 0.881 0.119 0.451
Y 0.955 0.045 0.750
Ho 0.283 0.717 0.129
Ho 0.283 0.717 0.371
Ho 0.717 0.283 0.629
Ho 0.717 0.283 0.871
CELL_PARAMETERS angstrom
2.796 -5.981 0.000
2.796 5.981 0.000
0.000 0.000 15.811
```

---

Order from most stable to least stable according to the calculation: 2, 1